[1]
Material: Hf2Cd2Pt
Method: DFT, PBE
State: optimized geometry

Output
**Crystal system**: tetragonal
**M_tot**: 0.000 μB/atom
**DFT formation energy**: -0.02 eV/atom
**Theoretical density**: 12.69 g cm⁻³

Unit cell a=7.094 b=7.094 c=4.039 alpha=90.00 beta=90.00 gamma=90.00
Positions (direct):
Hf1 0.169 0.669 0.500
Hf2 0.669 0.831 0.500
Hf3 0.831 0.331 0.500
Hf4 0.331 0.169 0.500
Pt1 0.000 0.000 0.000
Pt2 0.500 0.500 0.000
Cd1 0.365 0.865 0.000
Cd2 0.865 0.635 0.000
Cd3 0.635 0.135 0.000
Cd4 0.135 0.365 0.000

=====

[2]
Material: Hf2CdPt
Method: DFT, PBE
State: optimized geometry

Output
**Crystal system**: tetragonal
**M_tot**: 0.000 μB/atom
**DFT formation energy**: -0.42 eV/atom
**Theoretical density**: 14.21 g cm⁻³

Unit cell a=3.962 b=4.428 c=4.428 alpha=90.00 beta=90.00 gamma=90.00
Positions (direct):
Hf1 0.000 0.000 0.500
Hf2 0.000 0.500 0.000
Pt1 0.500 0.500 0.500
Cd1 0.500 0.000 0.000

=====

[3]
Material: HfCd2Pt
Method: DFT, PBE
State: optimized geometry

Output
**Crystal system**: tetragonal
**M_tot**: 0.000 μB/atom
**DFT formation energy**: 0.04 eV/atom
**Theoretical density**: 11.48 g cm⁻³
**Offset from the most stable computed form**: 0.187 eV/atom

Unit cell a=8.014 b=8.014 c=6.276 alpha=50.32 beta=50.32 gamma=90.00
Positions (direct):
Hf1 0.500 0.500 0.000
Hf2 0.250 0.750 0.500
Pt1 0.000 0.000 0.000
Pt2 0.750 0.250 0.500
Cd1 0.658 0.125 0.250
Cd2 0.092 0.625 0.250
Cd3 0.375 0.342 0.750
Cd4 0.875 0.908 0.750

=====

[4]
Material: HfCd2Pt
Method: DFT, PBE
State: optimized geometry

Output
**Crystal system**: cubic
**M_tot**: 0.000 μB/atom
**DFT formation energy**: -0.15 eV/atom
**Theoretical density**: 13.23 g cm⁻³
**Offset from the most stable computed form**: 0.000 eV/atom

Unit cell a=4.736 b=4.736 c=4.736 alpha=60.00 beta=60.00 gamma=60.00
Positions (direct):
Hf1 0.000 0.000 0.000
Pt1 0.500 0.500 0.500
Cd1 0.250 0.250 0.250
Cd2 0.750 0.750 0.750

=====

[5]
Material: HfCdPt2
Method: DFT, PBE
State: optimized geometry

Output
**Crystal system**: tetragonal
**M_tot**: 0.000 μB/atom
**DFT formation energy**: -0.37 eV/atom
**Theoretical density**: 14.25 g cm⁻³

Unit cell a=7.403 b=7.403 c=5.982 alpha=51.78 beta=51.78 gamma=90.00
Positions (direct):
Hf1 0.000 0.000 0.000
Hf2 0.750 0.250 0.500
Pt1 0.643 0.125 0.250
Pt2 0.107 0.625 0.250
Pt3 0.375 0.357 0.750
Pt4 0.875 0.893 0.750
Cd1 0.500 0.500 0.000
Cd2 0.250 0.750 0.500

=====

[6]
Material: HfCdPt
Method: DFT, PBE
State: optimized geometry

Output
**Crystal system**: orthorhombic
**M_tot**: 0.000 μB/atom
**DFT formation energy**: -0.50 eV/atom
**Theoretical density**: 12.41 g cm⁻³

Unit cell a=6.331 b=4.793 c=6.528 alpha=71.32 beta=60.99 gamma=48.66
Positions (direct):
Hf1 0.750 0.500 0.500
Hf2 0.250 0.500 0.500
Cd1 0.815 0.371 0.000
Cd2 0.185 0.629 0.000
Pt1 0.639 0.000 0.723
Pt2 0.361 0.000 0.277

=====

[7]
Material: HfCdPt3
Method: DFT, PBE
State: optimized geometry

Output
**Crystal system**: cubic
**M_tot**: 0.000 μB/atom
**DFT formation energy**: 0.48 eV/atom
**Theoretical density**: 12.05 g cm⁻³
**Offset from the most stable computed form**: 0.000 eV/atom

Unit cell a=4.943 b=4.943 c=4.943 alpha=90.00 beta=90.00 gamma=90.00
Positions (direct):
Hf1 0.000 0.000 0.000
Pt1 0.000 0.500 0.000
Pt2 0.000 0.000 0.500
Pt3 0.500 0.000 0.000
Cd1 0.500 0.500 0.500

=====

[8]
Material: HfCdPt2
Method: DFT, PBE
State: optimized geometry

Output
**Crystal system**: tetragonal
**M_tot**: 0.000 μB/atom
**DFT formation energy**: -0.66 eV/atom
**Theoretical density**: 15.71 g cm⁻³

Unit cell a=3.042 b=4.864 c=4.864 alpha=90.00 beta=90.00 gamma=90.00
Positions (direct):
Hf1 0.500 0.000 0.000
Pt1 0.000 0.000 0.500
Pt2 0.000 0.500 0.000
Cd1 0.500 0.500 0.500